# 1
This record from the Alexandria database describes a relaxed CsRb4Zn3F12 crystal. The functional is PBE.

Results
Electronic total energy ... -3.966 eV per atom
Total magnetization ... 0.00 Bohr magnetons per cell

Lattice parameters (Å, degrees): 7.7462 7.7462 7.7462 109.47 109.47 109.47
Atoms (fractional coordinates):
Cs 0.0000 0.0000 0.0000
Rb 0.0000 0.0000 0.5000
Rb 0.0000 0.5000 0.0000
Rb 0.5000 0.0000 0.0000
Rb 0.5000 0.5000 0.5000
Zn 0.0000 0.5000 0.5000
Zn 0.5000 0.0000 0.5000
Zn 0.5000 0.5000 0.0000
F 0.0000 0.2924 0.2924
F 0.0000 0.7076 0.7076
F 0.2500 0.5000 0.7500
F 0.2500 0.7500 0.5000
F 0.2924 0.0000 0.2924
F 0.2924 0.2924 0.0000
F 0.5000 0.2500 0.7500
F 0.5000 0.7500 0.2500
F 0.7076 0.0000 0.7076
F 0.7076 0.7076 0.0000
F 0.7500 0.2500 0.5000
F 0.7500 0.5000 0.2500

# 2
This record from the Alexandria database describes a relaxed Cs4RbZn3F12 crystal. The functional is PBE.

Results
Electronic total energy ... -3.984 eV per atom
Total magnetization ... 1.05 Bohr magnetons per cell

Lattice parameters (Å, degrees): 7.7812 7.7812 7.7812 109.47 109.47 109.47
Atoms (fractional coordinates):
Cs 0.0000 0.0000 0.5000
Cs 0.0000 0.5000 0.0000
Cs 0.5000 0.0000 0.0000
Cs 0.5000 0.5000 0.5000
Rb 0.0000 0.0000 0.0000
Zn 0.0000 0.5000 0.5000
Zn 0.5000 0.0000 0.5000
Zn 0.5000 0.5000 0.0000
F 0.0000 0.2910 0.2910
F 0.0000 0.7090 0.7090
F 0.2500 0.5000 0.7500
F 0.2500 0.7500 0.5000
F 0.2910 0.0000 0.2910
F 0.2910 0.2910 0.0000
F 0.5000 0.2500 0.7500
F 0.5000 0.7500 0.2500
F 0.7090 0.0000 0.7090
F 0.7090 0.7090 0.0000
F 0.7500 0.2500 0.5000
F 0.7500 0.5000 0.2500

Taking the records one at a time from the top gives E_form (uncorrected) values of -2416; -2451 meV/atom.